(1)
SmDyEr2S4 (PBE-GGA, optimized geometry); spin magnetization = 0.0 μB/cell; E_form (uncorrected) = -1979 meV per atom
1.0
-0.8991 2.9239 -2.3676
-0.8898 -4.4235 -5.1249
-6.4601 -2.0303 -0.0542
Sm Dy Er S
1 1 2 4
Direct
0.5000 0.5000 0.0000
0.0000 0.5000 0.5000
0.0000 0.0000 0.0000
0.5000 0.0000 0.5000
0.0000 0.7608 0.7421
0.0000 0.2392 0.2579
0.5000 0.7575 0.2516
0.5000 0.2425 0.7484

---

(2)
RbVAs (PBE-GGA, optimized geometry); energy of formation from the pure elements = -0.2053 eV per atom; spin magnetization = 0.0 μB/cell
1.0
4.0069 0.0000 0.0000
-2.0035 3.4670 -0.2135
0.0000 -0.7420 13.0588
Rb As V
2 2 2
Direct
0.9287 0.8574 0.1762
0.0713 0.1426 0.8238
0.6953 0.3906 0.6329
0.3047 0.6094 0.3671
0.3460 0.6920 0.5598
0.6540 0.3080 0.4402

---

(3)
LaEr3Tm5 (PBE-GGA, optimized geometry); energy of formation from the pure elements = 0.3426 eV per atom; excess energy over the best structure of this formula in the dataset = 0.000 kcal/mol of atoms; spin magnetization = 0.0 μB/cell
1.0
-5.1213 -2.0538 2.2740
-0.5030 -1.0487 -9.9110
5.4965 -8.3613 4.8272
La Er Tm
2 6 10
Direct
0.8560 0.0000 0.7500
0.1440 0.0000 0.2500
0.0000 0.0000 0.0000
0.4112 0.3563 0.3625
0.0000 0.0000 0.5000
0.5888 0.6437 0.6375
0.9451 0.3563 0.8625
0.0549 0.6437 0.1375
0.3668 0.0000 0.7500
0.5750 0.6585 0.9695
0.9062 0.3269 0.1938
0.4250 0.3415 0.0305
0.5793 0.6731 0.3062
0.6332 0.0000 0.2500
0.0835 0.6585 0.4695
0.9165 0.3415 0.5305
0.4207 0.3269 0.6938
0.0938 0.6731 0.8062

---

(4)
RbAcCO4 (PBE-GGA, optimized geometry); spin magnetization = 0.0 μB/cell; E_form (uncorrected) = -2178 meV per atom
1.0
5.7035 0.0000 0.2532
0.0000 5.3806 0.0000
-1.9066 0.0000 7.6568
Rb Ac C O
2 2 2 8
Direct
0.7460 0.7500 0.9588
0.2540 0.2500 0.0412
0.7560 0.7500 0.4566
0.2440 0.2500 0.5434
0.2100 0.7500 0.3165
0.7900 0.2500 0.6835
0.9375 0.4628 0.7096
0.0625 0.9628 0.2904
0.0625 0.5372 0.2904
0.9375 0.0372 0.7096
0.3847 0.7500 0.2171
0.6153 0.2500 0.7829
0.3254 0.7500 0.5033
0.6746 0.2500 0.4967

---

Q: What is the formula in the fourth record?
A: RbAcCO4